(1)
# NdTlRu2O8, relaxed, DFT PBE
data_NdTlRu2O8
_chemical_formula_sum 'Nd1 Tl1 Ru2 O8'
_cell_length_a 6.0797
_cell_length_b 6.0797
_cell_length_c 7.8825
_cell_angle_alpha 90.00
_cell_angle_beta 90.00
_cell_angle_gamma 120.00
_space_group_name_H-M_alt 'P -3'
_space_group_IT_number 147
loop_
_space_group_symop_operation_xyz
'x,y,z'
'-x,-y,-z'
'-y,x-y,z'
'y,-x+y,-z'
'-x+y,-x,z'
'x-y,x,-z'
loop_
_atom_site_label
_atom_site_type_symbol
_atom_site_fract_x
_atom_site_fract_y
_atom_site_fract_z
Nd1 Nd 0.0000 0.0000 0.0000
Tl1 Tl 0.0000 0.0000 0.5000
Ru1 Ru 0.3333 0.6667 0.2680
O1 O 0.1662 0.3444 0.1893
O2 O 0.3333 0.6667 0.4898
# Magnetization, μB per formula unit: 4.0
# ΔE_f (raw), kJ/mol of formula units: -1497

(2)
# NdTl2RuO8, relaxed, DFT PBE
data_NdTl2RuO8
_chemical_formula_sum 'Nd1 Tl2 Ru1 O8'
_cell_length_a 5.099
_cell_length_b 5.153
_cell_length_c 6.806
_cell_angle_alpha 91.39
_cell_angle_beta 91.68
_cell_angle_gamma 91.04
_space_group_name_H-M_alt 'P -1'
_space_group_IT_number 2
loop_
_space_group_symop_operation_xyz
'x,y,z'
'-x,-y,-z'
loop_
_atom_site_label
_atom_site_type_symbol
_atom_site_fract_x
_atom_site_fract_y
_atom_site_fract_z
Nd1 Nd 0.000 0.000 0.000
Tl1 Tl 0.482 0.486 0.746
Ru1 Ru 0.000 0.000 0.500
O1 O 0.184 0.829 0.299
O2 O 0.196 0.841 0.704
O3 O 0.260 0.289 0.498
O4 O 0.294 0.332 0.014
# Magnetization, μB per formula unit: 0.9
# ΔE_f (raw), kJ/mol of formula units: -1279

(3)
# NdTm2RuO8, relaxed, DFT PBE
data_NdTm2RuO8
_chemical_formula_sum 'Nd1 Tm2 Ru1 O8'
_cell_length_a 5.019
_cell_length_b 6.805
_cell_length_c 5.029
_cell_angle_alpha 90.00
_cell_angle_beta 90.37
_cell_angle_gamma 90.00
_space_group_name_H-M_alt 'P 1 2/m 1'
_space_group_IT_number 10
loop_
_space_group_symop_operation_xyz
'x,y,z'
'-x,-y,-z'
'-x,y,-z'
'x,-y,z'
loop_
_atom_site_label
_atom_site_type_symbol
_atom_site_fract_x
_atom_site_fract_y
_atom_site_fract_z
Nd1 Nd 0.000 0.000 0.000
Tm1 Tm 0.500 0.250 0.500
Ru1 Ru 0.000 0.500 0.000
O1 O 0.189 0.296 0.188
O2 O 0.269 0.500 0.730
O3 O 0.317 0.000 0.681
# Magnetization, μB per formula unit: 1.0
# ΔE_f (raw), kJ/mol of formula units: -2764

(4)
# Nd4S3O4, relaxed, DFT PBE
data_Nd4S3O4
_chemical_formula_sum 'Nd8 S6 O8'
_cell_length_a 4.045
_cell_length_b 7.443
_cell_length_c 12.945
_cell_angle_alpha 90.00
_cell_angle_beta 90.00
_cell_angle_gamma 90.00
_space_group_name_H-M_alt 'I m m m'
_space_group_IT_number 71
_space_group_name_Hall '-I 2 2'
loop_
_atom_site_label
_atom_site_type_symbol
_atom_site_fract_x
_atom_site_fract_y
_atom_site_fract_z
Nd1 Nd 0.000 0.000 0.225
Nd2 Nd 0.000 0.248 0.500
S1 S 0.000 0.000 0.000
S2 S 0.000 0.500 0.084
O1 O 0.000 0.311 0.325
# Magnetization, μB per formula unit: 0.0
# ΔE_f (raw), kJ/mol of formula units: -2566

(5)
# NdSO4, relaxed, DFT PBE
data_NdSO4
_chemical_formula_sum 'Nd4 S4 O16'
_cell_length_a 6.774
_cell_length_b 7.667
_cell_length_c 8.761
_cell_angle_alpha 90.00
_cell_angle_beta 129.79
_cell_angle_gamma 90.00
_space_group_name_H-M_alt 'P 1 21/c 1'
_space_group_IT_number 14
loop_
_space_group_symop_operation_xyz
'x,y,z'
'-x,-y,-z'
'-x,y+1/2,-z+1/2'
'x,-y+1/2,z+1/2'
loop_
_atom_site_label
_atom_site_type_symbol
_atom_site_fract_x
_atom_site_fract_y
_atom_site_fract_z
Nd1 Nd 0.133 0.096 0.354
S1 S 0.374 0.710 0.676
O1 O 0.216 0.626 0.121
O2 O 0.240 0.594 0.502
O3 O 0.361 0.247 0.242
O4 O 0.402 0.621 0.842
# Magnetization, μB per formula unit: 1.0
# ΔE_f (raw), kJ/mol of formula units: -1089

(6)
# Nd10S14O, relaxed, DFT PBE
data_Nd10S14O
_chemical_formula_sum 'Nd80 S112 O8'
_cell_length_a 15.149
_cell_length_b 15.149
_cell_length_c 20.077
_cell_angle_alpha 90.00
_cell_angle_beta 90.00
_cell_angle_gamma 90.00
_space_group_name_H-M_alt 'I 41/a c d'
_space_group_IT_number 142
loop_
_space_group_symop_operation_xyz
'x,y,z'
'-x,-y,-z'
'-y+1/4,x+3/4,z+1/4'
'y+1/4,-x+3/4,-z+1/4'
'-x+1/2,-y,z+1/2'
'x+1/2,y,-z+1/2'
'y+1/4,-x+1/4,z+3/4'
'-y+1/4,x+1/4,-z+3/4'
'x,-y,-z+1/2'
'-x,y,z+1/2'
'-y+1/4,-x+1/4,-z+1/4'
'y+1/4,x+1/4,z+1/4'
'-x+1/2,y,-z'
'x+1/2,-y,z'
'y+1/4,x+3/4,-z+3/4'
'-y+1/4,-x+3/4,z+3/4'
'x+1/2,y+1/2,z+1/2'
'-x+1/2,-y+1/2,-z+1/2'
'-y+3/4,x+1/4,z+3/4'
'y+3/4,-x+1/4,-z+3/4'
'-x,-y+1/2,z'
'x,y+1/2,-z'
'y+3/4,-x+3/4,z+1/4'
'-y+3/4,x+3/4,-z+1/4'
'x+1/2,-y+1/2,-z'
'-x+1/2,y+1/2,z'
'-y+3/4,-x+3/4,-z+3/4'
'y+3/4,x+3/4,z+3/4'
'-x,y+1/2,-z+1/2'
'x,-y+1/2,z+1/2'
'y+3/4,x+1/4,-z+1/4'
'-y+3/4,-x+1/4,z+1/4'
loop_
_atom_site_label
_atom_site_type_symbol
_atom_site_fract_x
_atom_site_fract_y
_atom_site_fract_z
Nd1 Nd 0.007 0.118 0.308
Nd2 Nd 0.128 0.028 0.547
Nd3 Nd 0.135 0.115 0.125
S1 S 0.025 0.117 0.004
S2 S 0.038 0.071 0.672
S3 S 0.149 0.000 0.250
S4 S 0.156 0.073 0.407
O1 O 0.000 0.250 0.375
# Magnetization, μB per formula unit: 0.0
# ΔE_f (raw), kJ/mol of formula units: -5218

(7)
# Nd4S3O, relaxed, DFT PBE
data_Nd4S3O
_chemical_formula_sum 'Nd4 S3 O1'
_cell_length_a 5.622
_cell_length_b 5.622
_cell_length_c 5.622
_cell_angle_alpha 90.00
_cell_angle_beta 90.00
_cell_angle_gamma 90.00
_space_group_name_H-M_alt 'P m -3 m'
_space_group_IT_number 221
_space_group_name_Hall '-P 4 2 3'
loop_
_atom_site_label
_atom_site_type_symbol
_atom_site_fract_x
_atom_site_fract_y
_atom_site_fract_z
Nd1 Nd 0.000 0.000 0.000
Nd2 Nd 0.000 0.500 0.500
S1 S 0.000 0.000 0.500
O1 O 0.500 0.500 0.500
# Magnetization, μB per formula unit: 0.0
# ΔE_f (raw), kJ/mol of formula units: -1581

(8)
# Nd2SO2, relaxed, DFT PBE
data_Nd2SO2
_chemical_formula_sum 'Nd2 S1 O2'
_cell_length_a 3.9828
_cell_length_b 3.9828
_cell_length_c 6.8504
_cell_angle_alpha 90.00
_cell_angle_beta 90.00
_cell_angle_gamma 120.00
_space_group_name_H-M_alt 'P -3 m 1'
_space_group_IT_number 164
_space_group_name_Hall '-P 3 2"'
loop_
_atom_site_label
_atom_site_type_symbol
_atom_site_fract_x
_atom_site_fract_y
_atom_site_fract_z
Nd1 Nd 0.3333 0.6667 0.2805
S1 S 0.0000 0.0000 0.0000
O1 O 0.3333 0.6667 0.6294
# Magnetization, μB per formula unit: 0.0
# ΔE_f (raw), kJ/mol of formula units: -1483

(9)
# Nd4SO5, relaxed, DFT PBE
data_Nd4SO5
_chemical_formula_sum 'Nd8 S2 O10'
_cell_length_a 7.486
_cell_length_b 9.146
_cell_length_c 5.831
_cell_angle_alpha 90.00
_cell_angle_beta 90.00
_cell_angle_gamma 90.00
_space_group_name_H-M_alt 'P m m n'
_space_group_IT_number 59
loop_
_space_group_symop_operation_xyz
'x,y,z'
'-x,-y,-z'
'-x+1/2,-y+1/2,z'
'x+1/2,y+1/2,-z'
'x+1/2,-y,-z'
'-x+1/2,y,z'
'-x,y+1/2,-z'
'x,-y+1/2,z'
loop_
_atom_site_label
_atom_site_type_symbol
_atom_site_fract_x
_atom_site_fract_y
_atom_site_fract_z
Nd1 Nd 0.007 0.250 0.013
Nd2 Nd 0.250 0.024 0.528
S1 S 0.250 0.750 0.310
O1 O 0.005 0.067 0.267
O2 O 0.250 0.250 0.769
# Magnetization, μB per formula unit: 0.0
# ΔE_f (raw), kJ/mol of formula units: -2824

(10)
# Nd2SO2, relaxed, DFT PBE
data_Nd2SO2
_chemical_formula_sum 'Nd8 S4 O8'
_cell_length_a 9.700
_cell_length_b 7.805
_cell_length_c 6.864
_cell_angle_alpha 90.00
_cell_angle_beta 131.09
_cell_angle_gamma 90.00
_space_group_name_H-M_alt 'C 1 2/c 1'
_space_group_IT_number 15
loop_
_space_group_symop_operation_xyz
'x,y,z'
'-x,-y,-z'
'-x,y,-z+1/2'
'x,-y,z+1/2'
'x+1/2,y+1/2,z'
'-x+1/2,-y+1/2,-z'
'-x+1/2,y+1/2,-z+1/2'
'x+1/2,-y+1/2,z+1/2'
loop_
_atom_site_label
_atom_site_type_symbol
_atom_site_fract_x
_atom_site_fract_y
_atom_site_fract_z
Nd1 Nd 0.181 0.145 0.216
S1 S 0.000 0.370 0.750
O1 O 0.139 0.121 0.520
# Magnetization, μB per formula unit: 0.0
# ΔE_f (raw), kJ/mol of formula units: -1432

(11)
# Nd2SO, relaxed, DFT PBE
data_Nd2SO
_chemical_formula_sum 'Nd6 S3 O3'
_cell_length_a 3.7211
_cell_length_b 3.7211
_cell_length_c 20.2217
_cell_angle_alpha 90.00
_cell_angle_beta 90.00
_cell_angle_gamma 120.00
_space_group_name_H-M_alt 'R 3 m'
_space_group_IT_number 160
_space_group_name_Hall 'R 3 -2"'
loop_
_atom_site_label
_atom_site_type_symbol
_atom_site_fract_x
_atom_site_fract_y
_atom_site_fract_z
Nd1 Nd 0.0000 0.0000 0.0000
Nd2 Nd 0.0000 0.0000 0.1601
S1 S 0.0000 0.0000 0.5800
O1 O 0.0000 0.0000 0.7500
# Magnetization, μB per formula unit: 0.0
# Polymorph energy (0 for the lowest one), eV per atom: 0.1902
# ΔE_f (raw), kJ/mol of formula units: -821

(12)
# Nd2SO, relaxed, DFT PBE
data_Nd2SO
_chemical_formula_sum 'Nd6 S3 O3'
_cell_length_a 3.7809
_cell_length_b 3.7809
_cell_length_c 19.2234
_cell_angle_alpha 90.00
_cell_angle_beta 90.00
_cell_angle_gamma 120.00
_space_group_name_H-M_alt 'R -3 m'
_space_group_IT_number 166
_space_group_name_Hall '-R 3 2"'
loop_
_atom_site_label
_atom_site_type_symbol
_atom_site_fract_x
_atom_site_fract_y
_atom_site_fract_z
Nd1 Nd 0.0000 0.0000 0.2367
S1 S 0.0000 0.0000 0.0000
O1 O 0.0000 0.0000 0.5000
# Magnetization, μB per formula unit: 0.0
# Polymorph energy (0 for the lowest one), eV per atom: 0.0000
# ΔE_f (raw), kJ/mol of formula units: -895

(13)
# Nd3SO3, relaxed, DFT PBE
data_Nd3SO3
_chemical_formula_sum 'Nd18 S6 O18'
_cell_length_a 6.8777
_cell_length_b 6.8777
_cell_length_c 20.4109
_cell_angle_alpha 90.00
_cell_angle_beta 90.00
_cell_angle_gamma 120.00
_space_group_name_H-M_alt 'R -3'
_space_group_IT_number 148
_space_group_name_Hall '-R 3'
loop_
_atom_site_label
_atom_site_type_symbol
_atom_site_fract_x
_atom_site_fract_y
_atom_site_fract_z
Nd1 Nd 0.9997 0.3325 0.2597
S1 S 0.0000 0.0000 0.1667
O1 O 0.0011 0.6697 0.6227
# Magnetization, μB per formula unit: 0.0
# ΔE_f (raw), kJ/mol of formula units: -2006

(14)
# NdSO, relaxed, DFT PBE
data_NdSO
_chemical_formula_sum 'Nd4 S4 O4'
_cell_length_a 6.704
_cell_length_b 4.250
_cell_length_c 8.308
_cell_angle_alpha 90.00
_cell_angle_beta 93.62
_cell_angle_gamma 90.00
_space_group_name_H-M_alt 'C 1 2/m 1'
_space_group_IT_number 12
loop_
_space_group_symop_operation_xyz
'x,y,z'
'-x,-y,-z'
'-x,y,-z'
'x,-y,z'
'x+1/2,y+1/2,z'
'-x+1/2,-y+1/2,-z'
'-x+1/2,y+1/2,-z'
'x+1/2,-y+1/2,z'
loop_
_atom_site_label
_atom_site_type_symbol
_atom_site_fract_x
_atom_site_fract_y
_atom_site_fract_z
Nd1 Nd 0.188 0.000 0.178
S1 S 0.071 0.500 0.393
O1 O 0.168 0.000 0.893
# Magnetization, μB per formula unit: 0.0
# ΔE_f (raw), kJ/mol of formula units: -697

(15)
# NdSO, relaxed, DFT PBE
data_NdSO
_chemical_formula_sum 'Nd3 S3 O3'
_cell_length_a 6.7305
_cell_length_b 6.7305
_cell_length_c 4.0424
_cell_angle_alpha 90.00
_cell_angle_beta 90.00
_cell_angle_gamma 120.00
_space_group_name_H-M_alt 'P -6 2 m'
_space_group_IT_number 189
_space_group_name_Hall 'P -6 -2'
loop_
_atom_site_label
_atom_site_type_symbol
_atom_site_fract_x
_atom_site_fract_y
_atom_site_fract_z
Nd1 Nd 0.0000 0.0000 0.0000
Nd2 Nd 0.3333 0.6667 0.5000
S1 S 0.0000 0.5781 0.0000
O1 O 0.0000 0.2575 0.5000
# Magnetization, μB per formula unit: 0.6
# ΔE_f (raw), kJ/mol of formula units: -557

(16)
# Nd3S2O, relaxed, DFT PBE
data_Nd3S2O
_chemical_formula_sum 'Nd6 S4 O2'
_cell_length_a 3.8265
_cell_length_b 3.8265
_cell_length_c 20.2870
_cell_angle_alpha 90.00
_cell_angle_beta 90.00
_cell_angle_gamma 120.00
_space_group_name_H-M_alt 'P 63/m m c'
_space_group_IT_number 194
_space_group_name_Hall '-P 6c 2c'
loop_
_atom_site_label
_atom_site_type_symbol
_atom_site_fract_x
_atom_site_fract_y
_atom_site_fract_z
Nd1 Nd 0.0000 0.0000 0.0000
Nd2 Nd 0.3333 0.6667 0.1722
S1 S 0.3333 0.6667 0.5883
O1 O 0.0000 0.0000 0.2500
# Magnetization, μB per formula unit: 0.0
# ΔE_f (raw), kJ/mol of formula units: -1199

(17)
# Nd2SO, relaxed, DFT PBE
data_Nd2SO
_chemical_formula_sum 'Nd6 S3 O3'
_cell_length_a 4.1314
_cell_length_b 4.1314
_cell_length_c 22.5151
_cell_angle_alpha 90.00
_cell_angle_beta 90.00
_cell_angle_gamma 120.00
_space_group_name_H-M_alt 'R -3 m'
_space_group_IT_number 166
_space_group_name_Hall '-R 3 2"'
loop_
_atom_site_label
_atom_site_type_symbol
_atom_site_fract_x
_atom_site_fract_y
_atom_site_fract_z
Nd1 Nd 0.0000 0.0000 0.0942
S1 S 0.0000 0.0000 0.5000
O1 O 0.0000 0.0000 0.0000
# Magnetization, μB per formula unit: 0.0
# Polymorph energy (0 for the lowest one), eV per atom: 0.3443
# ΔE_f (raw), kJ/mol of formula units: -762

no.,calculated total energy (eV/atom)
1,-6.739
2,-5.975
3,-7.609
4,-7.080
5,-6.669
6,-6.580
7,-6.600
8,-7.790
9,-7.726
10,-7.684
11,-6.784
12,-6.974
13,-7.728
14,-7.025
15,-6.543
16,-6.658
17,-6.630